[1]
This record from Alexandria via LeMat-Bulk describes a relaxed KTlAs crystal. The functional is GGA-PBE.

```
KTlAs
1.0
5.327 0.000 0.000
2.663 4.613 0.000
2.663 1.538 4.349
As K Tl
1 1 1
Direct
0.500 0.500 0.500
0.750 0.750 0.750
0.000 0.000 0.000
```

DOS(E_F)	0.74	states/eV per atom
ρ	4.95	g/cm³
formation energy	274.7	meV per atom
calculated total energy	-7.29	eV for the cell shown

=====

[2]
This record from Alexandria via LeMat-Bulk describes a relaxed KTl6As2 crystal. The functional is GGA-PBE.

```
KTl6As2
1.0
4.882 0.000 0.000
0.000 4.882 0.000
0.000 0.000 11.661
K Tl As
1 6 2
Direct
0.000 0.000 0.000
0.000 0.500 0.269
0.500 0.000 0.269
0.000 0.500 0.731
0.500 0.000 0.731
0.500 0.500 0.500
0.000 0.000 0.500
0.500 0.500 0.105
0.500 0.500 0.895
```

DOS(E_F)	0.58	states/eV per atom
ρ	8.46	g/cm³
formation energy	-84.5	meV per atom
calculated total energy	-25.35	eV for the cell shown

=====

[3]
This record from Alexandria via LeMat-Bulk describes a relaxed KTlAs crystal. The functional is GGA-PBE.

```
KTlAs
1.0
5.367 0.000 0.000
-2.683 4.648 0.000
0.000 0.000 3.473
As K Tl
1 1 1
Direct
0.000 0.000 0.921
0.667 0.333 0.336
0.333 0.667 0.743
```

DOS(E_F)	0.52	states/eV per atom
ρ	6.10	g/cm³
formation energy	-102.2	meV per atom
calculated total energy	-8.42	eV for the cell shown

=====

[4]
This record from Alexandria via LeMat-Bulk describes a relaxed K2Tl3As2 crystal. The functional is GGA-PBE.

```
K2Tl3As2
1.0
-2.459 3.834 -0.701
-3.221 -5.211 -2.055
-1.153 0.794 8.383
K Tl As
2 3 2
Direct
0.856 0.712 0.212
0.144 0.288 0.788
0.500 0.000 0.000
0.625 0.250 0.448
0.375 0.750 0.552
0.848 0.696 0.761
0.152 0.304 0.239
```

DOS(E_F)	0.35	states/eV per atom
ρ	6.29	g/cm³
formation energy	-195.1	meV per atom
calculated total energy	-19.96	eV for the cell shown

=====

[5]
This record from Alexandria via LeMat-Bulk describes a relaxed KTl2As crystal. The functional is GGA-PBE.

```
KTl2As
1.0
4.390 0.000 0.000
0.000 5.907 -0.011
0.000 2.286 5.455
K Tl As
1 2 1
Direct
0.500 0.750 0.750
0.000 0.060 0.059
0.000 0.440 0.441
0.500 0.250 0.250
```

DOS(E_F)	0.30	states/eV per atom
ρ	6.13	g/cm³
formation energy	-169.5	meV per atom
calculated total energy	-11.16	eV for the cell shown

=====

[6]
This record from Alexandria via LeMat-Bulk describes a relaxed K2TlAs2 crystal. The functional is GGA-PBE.

```
K2TlAs2
1.0
-3.885 3.348 -0.450
-0.810 -0.258 5.078
1.813 6.496 3.230
K Tl As
2 1 2
Direct
0.750 0.250 0.500
0.250 0.750 0.500
0.000 0.000 0.000
0.411 0.411 0.178
0.589 0.589 0.822
```

DOS(E_F)	0.46	states/eV per atom
ρ	4.15	g/cm³
formation energy	-122.9	meV per atom
calculated total energy	-14.48	eV for the cell shown